Tb3SmDy6 GGA-PBE optimized geometry; ρ = 8.3 g/cm3
1.0
6.380 0.000 0.000
0.000 10.036 -5.722
0.000 -2.244 11.333
Dy Sm Tb
12 2 6
Cartesian
3.645 4.566 4.845 Dy
5.295 7.949 0.062 Dy
0.455 6.043 2.794 Dy
5.056 1.463 6.185 Dy
1.997 9.859 -5.475 Dy
5.187 -2.067 11.086 Dy
3.645 1.749 2.817 Dy
1.866 6.330 -0.574 Dy
5.295 5.213 -1.908 Dy
2.105 2.579 7.519 Dy
0.455 3.226 0.766 Dy
2.105 -0.156 5.549 Dy
3.257 8.058 -2.974 Sm
0.067 -0.266 8.585 Sm
3.802 4.882 1.437 Tb
0.612 2.911 4.174 Tb
6.289 -0.250 3.127 Tb
6.289 4.906 6.840 Tb
3.098 2.887 -1.228 Tb
3.098 8.042 2.484 Tb


Tb7Sm12Dy GGA-PBE optimized geometry; ρ = 7.6 g/cm3
1.0
8.680 0.800 1.201
-1.645 8.560 1.201
-1.645 -2.189 8.362
Sm Tb Dy
12 7 1
Cartesian
-0.192 2.611 4.682 Sm
5.581 4.561 6.082 Sm
2.152 6.434 6.551 Sm
4.191 7.001 3.893 Sm
5.559 1.292 7.011 Sm
-0.170 5.879 3.753 Sm
1.199 0.171 6.871 Sm
3.238 0.738 4.212 Sm
5.695 2.897 2.804 Sm
-0.305 4.275 7.960 Sm
2.829 3.059 8.461 Sm
2.561 4.112 2.303 Sm
0.125 3.022 0.699 Tb
5.923 7.195 7.705 Tb
2.868 0.276 1.156 Tb
-0.533 -0.024 3.058 Tb
2.522 6.896 9.608 Tb
5.265 4.149 10.064 Tb
2.695 3.586 5.382 Tb
0.000 0.000 0.000 Dy


no.,ΔE to the lowest computed polymorph (meV/atom),ΔE_f (eV per atom),total energy (eV/atom)
1,0.0,0.12,-4.50
2,23.8,0.27,-4.41